Computed, not measured: a crystal of TbTiSi relaxed with PBEsol at the SCAN level of DFT.

Cell and atoms, written as POSCAR:
```
TbTiSi
1.0
3.999 0.000 0.000
0.000 3.999 0.000
0.000 0.000 7.501
Tb Ti Si
2 2 2
direct
0.250 0.250 0.154 Tb
0.750 0.750 0.846 Tb
0.250 0.750 0.500 Ti
0.750 0.250 0.500 Ti
0.250 0.250 0.736 Si
0.750 0.750 0.264 Si
```

Properties
total DFT energy (no corrections): -149.74 eV per cell
E_form (uncorrected): -688 meV/atom
DOS at the Fermi energy: 2.35 states/eV/f.u.
spin magnetization: 0.8 μB per cell